[1]
# Li3In12Pb

A relaxed structure of Li3In12Pb (PBE, Alexandria via LeMat-Bulk).

a b c (Å): 4.688 4.688 18.157
angles (deg): 90.00 90.00 90.00
Element x y z (fractional)
1 Li 0.000 0.000 0.261
2 Li 0.000 0.000 0.500
3 Li 0.000 0.000 0.739
4 In 0.500 0.500 0.000
5 In 0.500 0.500 0.259
6 In 0.500 0.500 0.500
7 In 0.500 0.500 0.741
8 In 0.500 0.000 0.138
9 In 0.500 0.000 0.379
10 In 0.500 0.000 0.621
11 In 0.500 0.000 0.862
12 In 0.000 0.500 0.138
13 In 0.000 0.500 0.379
14 In 0.000 0.500 0.621
15 In 0.000 0.500 0.862
16 Pb 0.000 0.000 0.000

symmetry: P4/mmm, No. 123
E_form: -87 meV per atom
total magnetic moment: 0.0000 μB/atom


[2]
# La3CeO6

A relaxed structure of La3CeO6 (PBE, Alexandria via LeMat-Bulk).

a b c (Å): 7.160 7.160 7.160
angles (deg): 91.59 91.59 91.59
Last column: magnetic moment on the atom in μB.
Element x y z (fractional)
1 La 0.447 0.940 0.749  0.01
2 La 0.940 0.749 0.447  0.01
3 La 0.251 0.553 0.060  0.01
4 La 0.749 0.447 0.940  0.01
5 La 0.060 0.251 0.553  0.01
6 La 0.553 0.060 0.251  0.01
7 Ce 0.000 0.000 0.000  0.88
8 Ce 0.500 0.500 0.500  0.82
9 O 0.314 0.906 0.063  -0.01
10 O 0.094 0.937 0.686  -0.01
11 O 0.600 0.814 0.469  -0.01
12 O 0.937 0.686 0.094  -0.01
13 O 0.469 0.600 0.814  -0.01
14 O 0.186 0.531 0.400  -0.01
15 O 0.814 0.469 0.600  -0.01
16 O 0.531 0.400 0.186  -0.01
17 O 0.063 0.314 0.906  -0.01
18 O 0.400 0.186 0.531  -0.01
19 O 0.906 0.063 0.314  -0.01
20 O 0.686 0.094 0.937  -0.01

symmetry: R-3, No. 148
formation energy (no corrections): -3.40 eV/atom
total magnetic moment: 0.0976 μB/atom


[3]
# KZrCr

A relaxed structure of KZrCr (PBE, Alexandria via LeMat-Bulk).

a b c (Å): 8.061 8.061 3.272
angles (deg): 78.29 78.29 23.42
Last column: magnetic moment on the atom in μB.
Element x y z (fractional)
1 Cr 0.025 0.025 0.975  3.09
2 K 0.348 0.348 0.652  0.03
3 Zr 0.627 0.627 0.373  -0.42

offset from the most stable computed form: 0 meV per atom
symmetry: I4mm, No. 107
E_form: 769 meV per atom
total magnetic moment: 0.9747 μB/atom


[4]
# KGa2Au

A relaxed structure of KGa2Au (PBE, Alexandria via LeMat-Bulk).

a b c (Å): 5.239 5.239 9.636
angles (deg): 74.23 74.23 90.00
Element x y z (fractional)
1 K 0.500 0.500 0.000
2 K 0.250 0.750 0.500
3 Au 0.000 0.000 0.000
4 Au 0.750 0.250 0.500
5 Ga 0.873 0.125 0.250
6 Ga 0.877 0.625 0.250
7 Ga 0.375 0.127 0.750
8 Ga 0.875 0.123 0.750

symmetry: I-42d, No. 122
E_form: -105 meV per atom
total magnetic moment: 0.0000 μB/atom


[5]
# BaErPa2O8

A relaxed structure of BaErPa2O8 (PBE, Alexandria via LeMat-Bulk).

a b c (Å): 5.575 5.575 6.748
angles (deg): 114.40 114.40 90.00
Last column: magnetic moment on the atom in μB.
Element x y z (fractional)
1 Ba 0.750 0.250 0.500  0.03
2 Er 0.000 0.000 0.000  -0.01
3 Pa 0.500 0.500 0.000  -0.03
4 Pa 0.250 0.750 0.500  -0.02
5 O 0.882 0.842 0.236  0.08
6 O 0.353 0.393 0.236  0.08
7 O 0.606 0.647 0.763  0.08
8 O 0.157 0.116 0.763  0.08
9 O 0.884 0.394 0.237  0.08
10 O 0.353 0.843 0.237  0.08
11 O 0.158 0.647 0.764  0.08
12 O 0.607 0.118 0.764  0.08

symmetry: I-4m2, No. 119
formation energy (no corrections): -3.25 eV/atom
total magnetic moment: 0.0590 μB/atom


[6]
# Hf3PbCl

A relaxed structure of Hf3PbCl (PBE, Alexandria via LeMat-Bulk).

a b c (Å): 5.455 5.455 5.455
angles (deg): 90.00 90.00 90.00
Last column: magnetic moment on the atom in μB.
Element x y z (fractional)
1 Pb 0.000 0.000 0.000  0.05
2 Hf 0.000 0.500 0.000  0.79
3 Hf 0.000 0.000 0.500  0.96
4 Hf 0.500 0.000 0.000  0.79
5 Cl 0.500 0.500 0.500  0.13

offset from the most stable computed form: 1294 meV per atom
symmetry: Pm-3m, No. 221
formation energy (no corrections): 1.53 eV/atom
total magnetic moment: 0.9185 μB/atom